(1)
# PBE-GGA Li5AlGa3, relaxed
# DOS at the Fermi energy = 5.22 states/eV per cell
# Spin magnetization = 0.000 μB per atom
# Uncorrected energy = -2.502 eV/atom
# Energy relative to the elements = -0.01 eV per atom
# Crystal system = monoclinic
data_Li5AlGa3
_cell_length_a 6.087
_cell_length_b 6.087
_cell_length_c 9.600
_cell_angle_alpha 95.88
_cell_angle_beta 95.88
_cell_angle_gamma 69.86
_symmetry_space_group_name_H-M 'P 1'
_symmetry_Int_Tables_number 1
_symmetry_space_group_name_Hall 'P 1'
loop_
_atom_site_label
_atom_site_type_symbol
_atom_site_fract_x
_atom_site_fract_y
_atom_site_fract_z
Li1 Li 0.060 0.060 0.628
Li2 Li 0.167 0.833 0.000
Li3 Li 0.189 0.561 0.230
Li4 Li 0.242 0.242 0.962
Li5 Li 0.439 0.811 0.770
Li6 Li 0.561 0.189 0.230
Li7 Li 0.758 0.758 0.038
Li8 Li 0.811 0.439 0.770
Li9 Li 0.833 0.167 0.000
Li10 Li 0.940 0.940 0.372
Al1 Al 0.356 0.356 0.719
Al2 Al 0.644 0.644 0.281
Ga1 Ga 0.128 0.128 0.205
Ga2 Ga 0.236 0.236 0.452
Ga3 Ga 0.500 0.500 0.000
Ga4 Ga 0.500 0.500 0.500
Ga5 Ga 0.764 0.764 0.548
Ga6 Ga 0.872 0.872 0.795



(2)
# PBE-GGA LiAl5Ga6, relaxed
# DOS at the Fermi energy = 3.50 states/eV per cell
# Spin magnetization = 0.000 μB per atom
# Uncorrected energy = -3.264 eV/atom
# Energy relative to the elements = -0.03 eV per atom
# Crystal system = monoclinic
data_LiAl5Ga6
_cell_length_a 6.354
_cell_length_b 6.354
_cell_length_c 5.192
_cell_angle_alpha 96.55
_cell_angle_beta 96.55
_cell_angle_gamma 88.80
_symmetry_space_group_name_H-M 'P 1'
_symmetry_Int_Tables_number 1
_symmetry_space_group_name_Hall 'P 1'
loop_
_atom_site_label
_atom_site_type_symbol
_atom_site_fract_x
_atom_site_fract_y
_atom_site_fract_z
Li1 Li 0.000 0.000 0.000
Al1 Al 0.169 0.831 0.500
Al2 Al 0.335 0.665 0.000
Al3 Al 0.500 0.500 0.500
Al4 Al 0.665 0.335 0.000
Al5 Al 0.831 0.169 0.500
Ga1 Ga 0.083 0.412 0.249
Ga2 Ga 0.246 0.246 0.753
Ga3 Ga 0.412 0.083 0.249
Ga4 Ga 0.588 0.917 0.751
Ga5 Ga 0.754 0.754 0.247
Ga6 Ga 0.917 0.588 0.751



(3)
# PBE-GGA Li8Al2Ga, relaxed
# DOS at the Fermi energy = 5.67 states/eV per cell
# Spin magnetization = 0.000 μB per atom
# Uncorrected energy = -2.424 eV/atom
# Energy relative to the elements = -0.08 eV per atom
# Crystal system = orthorhombic
data_Li8Al2Ga
_cell_length_a 6.778
_cell_length_b 6.778
_cell_length_c 4.535
_cell_angle_alpha 90.00
_cell_angle_beta 90.00
_cell_angle_gamma 105.40
_symmetry_space_group_name_H-M 'P 1'
_symmetry_Int_Tables_number 1
_symmetry_space_group_name_Hall 'P 1'
loop_
_atom_site_label
_atom_site_type_symbol
_atom_site_fract_x
_atom_site_fract_y
_atom_site_fract_z
Li1 Li 0.035 0.292 0.500
Li2 Li 0.246 0.754 0.000
Li3 Li 0.292 0.035 0.500
Li4 Li 0.331 0.331 0.000
Li5 Li 0.669 0.669 0.000
Li6 Li 0.708 0.965 0.500
Li7 Li 0.754 0.246 0.000
Li8 Li 0.965 0.708 0.500
Al1 Al 0.383 0.617 0.500
Al2 Al 0.617 0.383 0.500
Ga1 Ga 0.000 0.000 0.000



(4)
# PBE-GGA Li2Al8Ga, relaxed
# DOS at the Fermi energy = 3.15 states/eV per cell
# Spin magnetization = 0.000 μB per atom
# Uncorrected energy = -3.265 eV/atom
# Energy relative to the elements = 0.08 eV per atom
# Crystal system = monoclinic
data_Li2Al8Ga
_cell_length_a 6.974
_cell_length_b 6.974
_cell_length_c 4.879
_cell_angle_alpha 102.40
_cell_angle_beta 102.40
_cell_angle_gamma 63.46
_symmetry_space_group_name_H-M 'P 1'
_symmetry_Int_Tables_number 1
_symmetry_space_group_name_Hall 'P 1'
loop_
_atom_site_label
_atom_site_type_symbol
_atom_site_fract_x
_atom_site_fract_y
_atom_site_fract_z
Li1 Li 0.118 0.118 0.024
Li2 Li 0.882 0.882 0.976
Al1 Al 0.238 0.238 0.584
Al2 Al 0.252 0.634 0.713
Al3 Al 0.354 0.354 0.158
Al4 Al 0.366 0.748 0.287
Al5 Al 0.634 0.252 0.713
Al6 Al 0.646 0.646 0.842
Al7 Al 0.748 0.366 0.287
Al8 Al 0.762 0.762 0.416
Ga1 Ga 0.000 0.000 0.500



(5)
# PBE-GGA Li4AlGa, relaxed
# DOS at the Fermi energy = 2.77 states/eV per cell
# Spin magnetization = 0.000 μB per atom
# Uncorrected energy = -2.621 eV/atom
# Energy relative to the elements = -0.22 eV per atom
# Crystal system = monoclinic
data_Li4AlGa
_cell_length_a 5.286
_cell_length_b 4.525
_cell_length_c 8.202
_cell_angle_alpha 90.00
_cell_angle_beta 108.71
_cell_angle_gamma 90.00
_symmetry_space_group_name_H-M 'P 1'
_symmetry_Int_Tables_number 1
_symmetry_space_group_name_Hall 'P 1'
loop_
_atom_site_label
_atom_site_type_symbol
_atom_site_fract_x
_atom_site_fract_y
_atom_site_fract_z
Li1 Li 0.041 0.250 0.084
Li2 Li 0.205 0.250 0.416
Li3 Li 0.288 0.750 0.584
Li4 Li 0.457 0.750 0.916
Li5 Li 0.543 0.250 0.084
Li6 Li 0.712 0.250 0.416
Li7 Li 0.795 0.750 0.584
Li8 Li 0.959 0.750 0.916
Al1 Al 0.376 0.750 0.252
Al2 Al 0.624 0.250 0.748
Ga1 Ga 0.125 0.250 0.752
Ga2 Ga 0.875 0.750 0.248



(6)
# PBE-GGA Li2AlGa3, relaxed
# DOS at the Fermi energy = 0.92 states/eV per cell
# Spin magnetization = 0.000 μB per atom
# Uncorrected energy = -2.968 eV/atom
# Energy relative to the elements = -0.19 eV per atom
# Crystal system = orthorhombic
data_Li2AlGa3
_cell_length_a 3.037
_cell_length_b 4.575
_cell_length_c 7.488
_cell_angle_alpha 90.00
_cell_angle_beta 90.00
_cell_angle_gamma 90.00
_symmetry_space_group_name_H-M 'P 1'
_symmetry_Int_Tables_number 1
_symmetry_space_group_name_Hall 'P 1'
loop_
_atom_site_label
_atom_site_type_symbol
_atom_site_fract_x
_atom_site_fract_y
_atom_site_fract_z
Li1 Li 0.000 0.000 0.000
Li2 Li 0.000 0.500 0.494
Al1 Al 0.500 0.500 0.827
Ga1 Ga 0.500 0.000 0.328
Ga2 Ga 0.500 0.000 0.670
Ga3 Ga 0.500 0.500 0.170



(7)
# PBE-GGA Li3AlGa3, relaxed
# DOS at the Fermi energy = 4.27 states/eV per cell
# Spin magnetization = 0.000 μB per atom
# Uncorrected energy = -2.798 eV/atom
# Energy relative to the elements = -0.15 eV per atom
# Crystal system = monoclinic
data_Li3AlGa3
_cell_length_a 6.096
_cell_length_b 6.096
_cell_length_c 6.936
_cell_angle_alpha 95.27
_cell_angle_beta 95.27
_cell_angle_gamma 93.42
_symmetry_space_group_name_H-M 'P 1'
_symmetry_Int_Tables_number 1
_symmetry_space_group_name_Hall 'P 1'
loop_
_atom_site_label
_atom_site_type_symbol
_atom_site_fract_x
_atom_site_fract_y
_atom_site_fract_z
Li1 Li 0.148 0.852 0.000
Li2 Li 0.266 0.734 0.500
Li3 Li 0.452 0.452 0.788
Li4 Li 0.548 0.548 0.212
Li5 Li 0.734 0.266 0.500
Li6 Li 0.852 0.148 0.000
Al1 Al 0.237 0.237 0.370
Al2 Al 0.763 0.763 0.630
Ga1 Ga 0.025 0.520 0.186
Ga2 Ga 0.096 0.096 0.687
Ga3 Ga 0.480 0.975 0.814
Ga4 Ga 0.520 0.025 0.186
Ga5 Ga 0.904 0.904 0.313
Ga6 Ga 0.975 0.480 0.814



(8)
# PBE-GGA Li2AlGa12, relaxed
# DOS at the Fermi energy = 9.41 states/eV per cell
# Spin magnetization = 0.000 μB per atom
# Uncorrected energy = -2.985 eV/atom
# Energy relative to the elements = -0.06 eV per atom
# Crystal system = tetragonal
data_Li2AlGa12
_cell_length_a 6.041
_cell_length_b 6.041
_cell_length_c 16.173
_cell_angle_alpha 90.00
_cell_angle_beta 90.00
_cell_angle_gamma 90.00
_symmetry_space_group_name_H-M 'P 1'
_symmetry_Int_Tables_number 1
_symmetry_space_group_name_Hall 'P 1'
loop_
_atom_site_label
_atom_site_type_symbol
_atom_site_fract_x
_atom_site_fract_y
_atom_site_fract_z
Li1 Li 0.250 0.750 0.228
Li2 Li 0.250 0.750 0.772
Li3 Li 0.750 0.250 0.228
Li4 Li 0.750 0.250 0.772
Al1 Al 0.250 0.750 0.500
Al2 Al 0.750 0.250 0.500
Ga1 Ga 0.000 0.000 0.400
Ga2 Ga 0.000 0.000 0.600
Ga3 Ga 0.000 0.500 0.400
Ga4 Ga 0.000 0.500 0.600
Ga5 Ga 0.084 0.584 0.067
Ga6 Ga 0.084 0.916 0.933
Ga7 Ga 0.250 0.250 0.151
Ga8 Ga 0.250 0.250 0.304
Ga9 Ga 0.250 0.250 0.696
Ga10 Ga 0.250 0.250 0.849
Ga11 Ga 0.416 0.584 0.933
Ga12 Ga 0.416 0.916 0.067
Ga13 Ga 0.500 0.000 0.400
Ga14 Ga 0.500 0.000 0.600
Ga15 Ga 0.500 0.500 0.400
Ga16 Ga 0.500 0.500 0.600
Ga17 Ga 0.584 0.084 0.933
Ga18 Ga 0.584 0.416 0.067
Ga19 Ga 0.750 0.750 0.151
Ga20 Ga 0.750 0.750 0.304
Ga21 Ga 0.750 0.750 0.696
Ga22 Ga 0.750 0.750 0.849
Ga23 Ga 0.916 0.084 0.067
Ga24 Ga 0.916 0.416 0.933



(9)
# PBE-GGA LiAl4Ga, relaxed
# DOS at the Fermi energy = 1.44 states/eV per cell
# Spin magnetization = 0.000 μB per atom
# Uncorrected energy = -3.395 eV/atom
# Energy relative to the elements = -0.08 eV per atom
# Crystal system = orthorhombic
data_LiAl4Ga
_cell_length_a 6.363
_cell_length_b 6.363
_cell_length_c 4.094
_cell_angle_alpha 90.00
_cell_angle_beta 90.00
_cell_angle_gamma 143.43
_symmetry_space_group_name_H-M 'P 1'
_symmetry_Int_Tables_number 1
_symmetry_space_group_name_Hall 'P 1'
loop_
_atom_site_label
_atom_site_type_symbol
_atom_site_fract_x
_atom_site_fract_y
_atom_site_fract_z
Li1 Li 0.000 0.000 0.000
Al1 Al 0.166 0.834 0.500
Al2 Al 0.333 0.667 0.000
Al3 Al 0.667 0.333 0.000
Al4 Al 0.834 0.166 0.500
Ga1 Ga 0.500 0.500 0.500



(10)
# PBE-GGA Li3Al3Ga8, relaxed
# DOS at the Fermi energy = 3.43 states/eV per cell
# Spin magnetization = 0.000 μB per atom
# Uncorrected energy = -3.068 eV/atom
# Energy relative to the elements = -0.13 eV per atom
# Crystal system = orthorhombic
data_Li3Al3Ga8
_cell_length_a 8.060
_cell_length_b 8.060
_cell_length_c 8.060
_cell_angle_alpha 149.58
_cell_angle_beta 102.02
_cell_angle_gamma 85.95
_symmetry_space_group_name_H-M 'P 1'
_symmetry_Int_Tables_number 1
_symmetry_space_group_name_Hall 'P 1'
loop_
_atom_site_label
_atom_site_type_symbol
_atom_site_fract_x
_atom_site_fract_y
_atom_site_fract_z
Li1 Li 0.000 0.000 0.000
Li2 Li 0.285 0.285 0.000
Li3 Li 0.715 0.715 0.000
Al1 Al 0.333 0.500 0.833
Al2 Al 0.500 0.000 0.500
Al3 Al 0.667 0.500 0.167
Ga1 Ga 0.011 0.636 0.375
Ga2 Ga 0.134 0.848 0.286
Ga3 Ga 0.262 0.636 0.625
Ga4 Ga 0.438 0.152 0.286
Ga5 Ga 0.562 0.848 0.714
Ga6 Ga 0.738 0.364 0.375
Ga7 Ga 0.866 0.152 0.714
Ga8 Ga 0.989 0.364 0.625



- Which value of energy relative to the elements does entry 8 give?
  -0.06 eV per atom